Entry 1:
A plane-wave DFT calculation with PBE was carried out for BaNb2Ru after structural relaxation.

```
data_BaNb2Ru
_cell_length_a 5.219
_cell_length_b 5.219
_cell_length_c 17.507
_cell_angle_alpha 90.00
_cell_angle_beta 90.00
_cell_angle_gamma 90.00
_space_group_name_H-M_alt 'I 41/a m d'
_space_group_IT_number 141
loop_
_space_group_symop_operation_xyz
'x,y,z'
'-x,-y,-z'
'-y+1/4,x+3/4,z+1/4'
'y+1/4,-x+3/4,-z+1/4'
'-x+1/2,-y,z+1/2'
'x+1/2,y,-z+1/2'
'y+1/4,-x+1/4,z+3/4'
'-y+1/4,x+1/4,-z+3/4'
'x,-y,-z'
'-x,y,z'
'-y+1/4,-x+1/4,-z+3/4'
'y+1/4,x+1/4,z+3/4'
'-x+1/2,y,-z+1/2'
'x+1/2,-y,z+1/2'
'y+1/4,x+3/4,-z+1/4'
'-y+1/4,-x+3/4,z+1/4'
'x+1/2,y+1/2,z+1/2'
'-x+1/2,-y+1/2,-z+1/2'
'-y+3/4,x+1/4,z+3/4'
'y+3/4,-x+1/4,-z+3/4'
'-x,-y+1/2,z'
'x,y+1/2,-z'
'y+3/4,-x+3/4,z+1/4'
'-y+3/4,x+3/4,-z+1/4'
'x+1/2,-y+1/2,-z+1/2'
'-x+1/2,y+1/2,z+1/2'
'-y+3/4,-x+3/4,-z+1/4'
'y+3/4,x+3/4,z+1/4'
'-x,y+1/2,-z'
'x,-y+1/2,z'
'y+3/4,x+1/4,-z+3/4'
'-y+3/4,-x+1/4,z+3/4'
loop_
_atom_site_label
_atom_site_type_symbol
_atom_site_fract_x
_atom_site_fract_y
_atom_site_fract_z
Ba1 Ba 0.000 0.250 0.375
Nb1 Nb 0.000 0.000 0.000
Ru1 Ru 0.000 0.250 0.875
```

## Properties
Formation energy from the elements = 1.012 eV per atom
Energy above the lowest structure with this stoichiometry = 140 meV/atom

***

Entry 2:
A plane-wave DFT calculation with PBE was carried out for SrB2H after structural relaxation.

```
data_SrB2H
_cell_length_a 6.225
_cell_length_b 6.225
_cell_length_c 6.225
_cell_angle_alpha 90.00
_cell_angle_beta 90.00
_cell_angle_gamma 90.00
_space_group_name_H-M_alt 'F m -3 m'
_space_group_IT_number 225
_space_group_name_Hall '-F 4 2 3'
loop_
_atom_site_label
_atom_site_type_symbol
_atom_site_fract_x
_atom_site_fract_y
_atom_site_fract_z
Sr1 Sr 0.000 0.000 0.000
B1 B 0.250 0.250 0.250
H1 H 0.000 0.000 0.500
```

## Properties
Energy above the lowest structure with this stoichiometry = 1558 meV/atom

***

Entry 3:
A plane-wave DFT calculation with PBE was carried out for VIrSe2 after structural relaxation.

```
data_VIrSe2
_cell_length_a 5.518
_cell_length_b 5.518
_cell_length_c 11.511
_cell_angle_alpha 90.00
_cell_angle_beta 90.00
_cell_angle_gamma 90.00
_space_group_name_H-M_alt 'I -4 2 d'
_space_group_IT_number 122
_space_group_name_Hall 'I -4 2bw'
loop_
_atom_site_label
_atom_site_type_symbol
_atom_site_fract_x
_atom_site_fract_y
_atom_site_fract_z
V1 V 0.000 0.000 0.000
Ir1 Ir 0.000 0.000 0.500
Se1 Se 0.249 0.250 0.125
```

## Properties
Energy above the lowest structure with this stoichiometry = 163 meV/atom

***

Entry 4:
A plane-wave DFT calculation with PBE was carried out for Re2NiAgBi after structural relaxation.

```
data_Re2NiAgBi
_cell_length_a 4.940
_cell_length_b 4.940
_cell_length_c 5.242
_cell_angle_alpha 90.00
_cell_angle_beta 90.00
_cell_angle_gamma 90.00
_space_group_name_H-M_alt 'P 4/m m m'
_space_group_IT_number 123
_space_group_name_Hall '-P 4 2'
loop_
_atom_site_label
_atom_site_type_symbol
_atom_site_fract_x
_atom_site_fract_y
_atom_site_fract_z
Re1 Re 0.000 0.500 0.000
Ni1 Ni 0.000 0.000 0.500
Ag1 Ag 0.500 0.500 0.000
Bi1 Bi 0.500 0.500 0.500
```

## Properties
Formation energy from the elements = 2.785 eV per atom

***

Entry 5:
A plane-wave DFT calculation with PBE was carried out for Sr2LiCl after structural relaxation.

```
data_Sr2LiCl
_cell_length_a 4.129
_cell_length_b 7.221
_cell_length_c 10.938
_cell_angle_alpha 90.00
_cell_angle_beta 90.00
_cell_angle_gamma 90.00
_space_group_name_H-M_alt 'I m m m'
_space_group_IT_number 71
_space_group_name_Hall '-I 2 2'
loop_
_atom_site_label
_atom_site_type_symbol
_atom_site_fract_x
_atom_site_fract_y
_atom_site_fract_z
Sr1 Sr 0.000 0.000 0.201
Li1 Li 0.000 0.500 0.000
Cl1 Cl 0.000 0.500 0.500
```

## Properties
Energy above the lowest structure with this stoichiometry = 91 meV/atom

***

Entry 6:
A plane-wave DFT calculation with PBE was carried out for Sr4ZrNi after structural relaxation.

```
data_Sr4ZrNi
_cell_length_a 9.783
_cell_length_b 9.783
_cell_length_c 9.783
_cell_angle_alpha 90.00
_cell_angle_beta 90.00
_cell_angle_gamma 90.00
_space_group_name_H-M_alt 'F -4 3 m'
_space_group_IT_number 216
_space_group_name_Hall 'F -4 2 3'
loop_
_atom_site_label
_atom_site_type_symbol
_atom_site_fract_x
_atom_site_fract_y
_atom_site_fract_z
Sr1 Sr 0.125 0.125 0.125
Zr1 Zr 0.250 0.250 0.750
Ni1 Ni 0.000 0.000 0.500
```

## Properties
Formation energy from the elements = 1.110 eV per atom

***

Entry 7:
A plane-wave DFT calculation with PBE was carried out for Ca3Gd after structural relaxation.

```
data_Ca3Gd
_cell_length_a 3.781
_cell_length_b 12.515
_cell_length_c 6.622
_cell_angle_alpha 90.00
_cell_angle_beta 90.00
_cell_angle_gamma 90.00
_space_group_name_H-M_alt 'I m m 2'
_space_group_IT_number 44
loop_
_space_group_symop_operation_xyz
'x,y,z'
'-x,-y,z'
'-x,y,z'
'x,-y,z'
'x+1/2,y+1/2,z+1/2'
'-x+1/2,-y+1/2,z+1/2'
'-x+1/2,y+1/2,z+1/2'
'x+1/2,-y+1/2,z+1/2'
loop_
_atom_site_label
_atom_site_type_symbol
_atom_site_fract_x
_atom_site_fract_y
_atom_site_fract_z
Ca1 Ca 0.000 0.000 0.000
Ca2 Ca 0.000 0.246 0.668
Gd1 Gd 0.000 0.500 0.001
```

## Properties
Formation energy from the elements = 0.086 eV per atom
Energy above the lowest structure with this stoichiometry = 0 meV/atom

***

Entry 8:
A plane-wave DFT calculation with PBE was carried out for ErTh2S4 after structural relaxation.

```
data_ErTh2S4
_cell_length_a 3.810
_cell_length_b 13.206
_cell_length_c 13.528
_cell_angle_alpha 90.00
_cell_angle_beta 90.00
_cell_angle_gamma 90.00
_space_group_name_H-M_alt 'C m c m'
_space_group_IT_number 63
_space_group_name_Hall '-C 2c 2'
loop_
_atom_site_label
_atom_site_type_symbol
_atom_site_fract_x
_atom_site_fract_y
_atom_site_fract_z
Er1 Er 0.000 0.122 0.250
Th1 Th 0.000 0.360 0.069
S1 S 0.000 0.000 0.000
S2 S 0.000 0.287 0.632
S3 S 0.000 0.470 0.250
```

***

For reference, V by record: 29.80; 15.08; 21.90; 25.58; 40.77; 39.01; 39.17; 24.31 A^3/atom.
For reference, ρ by record: 5909; 3035; 7601; 9710; 2216; 3550; 2941; 7412 kg/m³.
For reference, energy by record: -0.25072; -0.10220; -0.22874; -0.17261; -0.09111; -0.08819; -0.18136; -0.25611 hartree per atom.